DFT (PBE-GGA) results for CePmP after structural relaxation.

The calculation puts the density of states at the Fermi level at 5.45 states/eV per cell. Its formation energy is -0.85 eV per atom.

The space group is P3m1 (No. 156) and the conventional cell measures 3.9593, 3.9593 and 6.6027 Å, with angles of 90.00, 90.00 and 120.00 degrees. Symmetry generates all atoms from Ce at (0.0000, 0.0000, 0.0000), Pm at (0.3333, 0.6667, 0.4935) and P at (0.6667, 0.3333, 0.7500).